# 1
# Na2SN PBE-GGA optimized geometry
# VASP energy = -54.57 eV/cell
# Energy above the lowest structure with this stoichiometry = 0.197 eV/atom
# Crystal system = cubic
# ΔE_f (raw) = 0.36 eV/atom
data_Na2SN
_chemical_formula_sum 'Na8 S4 N4'
_cell_length_a 6.6290
_cell_length_b 6.6290
_cell_length_c 6.6290
_cell_angle_alpha 90.00
_cell_angle_beta 90.00
_cell_angle_gamma 90.00
_symmetry_space_group_name_H-M 'F m -3 m'
_symmetry_Int_Tables_number 225
_symmetry_space_group_name_Hall '-F 4 2 3'
loop_
_atom_site_label
_atom_site_type_symbol
_atom_site_fract_x
_atom_site_fract_y
_atom_site_fract_z
_atom_site_occupancy
Na1 Na 0.2500 0.2500 0.2500 1
S1 S 0.0000 0.0000 0.0000 1
N1 N 0.0000 0.0000 0.5000 1

***

# 2
# BeNiTe2C PBE-GGA optimized geometry
# VASP energy = -16.85 eV/cell
# Crystal system = tetragonal
# ΔE_f (raw) = 1.63 eV/atom
data_BeNiTe2C
_chemical_formula_sum 'Be1 Ni1 Te2 C1'
_cell_length_a 4.8064
_cell_length_b 4.8064
_cell_length_c 3.9178
_cell_angle_alpha 90.00
_cell_angle_beta 90.00
_cell_angle_gamma 90.00
_symmetry_space_group_name_H-M 'P 4/m m m'
_symmetry_Int_Tables_number 123
_symmetry_space_group_name_Hall '-P 4 2'
loop_
_atom_site_label
_atom_site_type_symbol
_atom_site_fract_x
_atom_site_fract_y
_atom_site_fract_z
_atom_site_occupancy
Be1 Be 0.0000 0.0000 0.0000 1
Ni1 Ni 0.0000 0.0000 0.5000 1
Te1 Te 0.0000 0.5000 0.0000 1
C1 C 0.5000 0.5000 0.5000 1

***

# 3
# AcAgSe2 PBE-GGA optimized geometry
# VASP energy = -37.09 eV/cell
# Crystal system = tetragonal
# ΔE_f (raw) = -1.15 eV/atom
data_AcAgSe2
_chemical_formula_sum 'Ac2 Ag2 Se4'
_cell_length_a 3.9784
_cell_length_b 3.9784
_cell_length_c 14.0121
_cell_angle_alpha 90.00
_cell_angle_beta 90.00
_cell_angle_gamma 90.00
_symmetry_space_group_name_H-M 'I -4 m 2'
_symmetry_Int_Tables_number 119
_symmetry_space_group_name_Hall 'I -4 -2'
loop_
_atom_site_label
_atom_site_type_symbol
_atom_site_fract_x
_atom_site_fract_y
_atom_site_fract_z
_atom_site_occupancy
Ac1 Ac 0.0000 0.0000 0.0000 1
Ag1 Ag 0.0000 0.5000 0.7500 1
Se1 Se 0.0000 0.0000 0.3805 1

***

Among the records above, which one has the lowest VASP energy?
Na2SN